Run 1
Density functional theory data (PBE) for an optimized crystal structure of Y2TeS.

abc: 4.0282 4.0282 7.5111
angles: 74.45 74.45 60.00
Last column: nearest neighbours and their distance in Å.
Positions (direct):
Y (0.0688, 0.0688, 0.7935)  3 S 2.73
Y (0.2637, 0.2637, 0.2089)  3 S 2.79
Te (0.4990, 0.4990, 0.5031)  6 Y 3.12-3.13
S (0.6685, 0.6685, 0.9944)  6 Y 2.73-2.79

Computed properties:
Volume = 100 Å³/cell
ρ = 5.6 g/cm3

=====

Run 2
Density functional theory data (PBE) for an optimized crystal structure of Y2TeS.

abc: 5.1334 5.1334 5.1334
angles: 60.00 60.00 60.00
Last column: nearest neighbours and their distance in Å.
Positions (direct):
Y (0.2500, 0.2500, 0.2500)  4 Te 3.14, 4 S 3.14
Y (0.7500, 0.7500, 0.7500)  4 S 3.14, 4 Te 3.14
Te (0.5000, 0.5000, 0.5000)  8 Y 3.14
S (0.0000, 0.0000, 0.0000)  8 Y 3.14

Computed properties:
Volume = 96 Å³/cell
ρ = 5.9 g/cm3

=====

Which of them is the most stable? Correct choice: run 1.

=====

Run 1
Density functional theory data (PBE) for an optimized crystal structure of ZnTe2S.

abc: 4.9918 4.9918 4.9918
angles: 60.00 60.00 60.00
Last column: nearest neighbours and their distance in Å.
Positions (direct):
Te (0.7500, 0.7500, 0.7500)  4 S 3.06, 4 Zn 3.06
Te (0.2500, 0.2500, 0.2500)  4 Zn 3.06, 4 S 3.06
S (0.0000, 0.0000, 0.0000)  8 Te 3.06
Zn (0.5000, 0.5000, 0.5000)  8 Te 3.06

Computed properties:
Volume = 88 Å³/cell
ρ = 6.7 g/cm3

=====

Run 2
Density functional theory data (PBE) for an optimized crystal structure of ZnTe2S.

abc: 9.7391 9.7391 9.7391
angles: 20.80 20.80 20.80
Last column: nearest neighbours and their distance in Å.
Positions (direct):
Te (0.9056, 0.9056, 0.9056)  1 Zn 2.70, 3 S 2.90
Te (0.0944, 0.0944, 0.0944)  1 Zn 2.70, 3 S 2.90
S (0.5000, 0.5000, 0.5000)  6 Te 2.90
Zn (0.0000, 0.0000, 0.0000)  2 Te 2.70

Computed properties:
Volume = 102 Å³/cell
ρ = 5.7 g/cm3

=====

Run 3
Density functional theory data (PBE) for an optimized crystal structure of ZnTe2S.

abc: 8.2427 8.2427 8.2427
angles: 29.59 29.59 29.59
Last column: nearest neighbours and their distance in Å.
Positions (direct):
S (0.0000, 0.0000, 0.0000)  2 Te 2.50
Te (0.1057, 0.1057, 0.1057)  1 S 2.50
Te (0.8943, 0.8943, 0.8943)  1 S 2.50
Zn (0.5000, 0.5000, 0.5000)  6 Te 2.83

Computed properties:
Volume = 121 Å³/cell
ρ = 4.8 g/cm3

=====

Which of them is the most stable? Correct choice: run 3.